Material: Mg2ScIn
Method: DFT, PBE-GGA
State: optimized geometry

Values from the calculation:
* DOS at the Fermi energy: 7.00 states/eV per cell
* formation energy from the elements: 116 meV/atom
* space group: I-42d, No. 122
* final energy: -11.8 eV per formula unit

Cell: 8.1733 8.1733 6.5136 Å, 51.14 51.14 90.00°
Last column: nearest neighbours and their distance in Å.
Fractional positions:
Mg 0.8750 0.8965 0.7500  2 In 2.87, 2 Mg 3.02, 2 Sc 3.11
Mg 0.3750 0.3535 0.7500  2 In 2.87, 2 Mg 3.02, 2 Sc 3.11
Mg 0.1035 0.6250 0.2500  2 In 2.87, 2 Mg 3.02, 2 Sc 3.11
Mg 0.6465 0.1250 0.2500  2 In 2.87, 2 Mg 3.02, 2 Sc 3.11
In 0.7500 0.2500 0.5000  4 Mg 2.87, 2 Sc 3.00
In 0.0000 0.0000 0.0000  4 Mg 2.87, 2 Sc 3.00
Sc 0.5000 0.5000 0.0000  2 In 3.00, 4 Mg 3.11
Sc 0.2500 0.7500 0.5000  2 In 3.00, 4 Mg 3.11